1.
Entry from the Alexandria database: a geometry-optimized TbFe4Cu3O12 structure (PBE with a Hubbard U).

Calculated values
- Calculated total energy: -6.290 eV per atom

Unit cell a=6.461 b=6.461 c=6.461 alpha=109.47 beta=109.47 gamma=109.47
Site moments in Bohr magnetons follow the coordinates.
Sites, in units of the cell vectors:
Fe 0.000 0.500 0.000  4.34
Fe 0.500 0.500 0.500  4.34
O 0.857 0.692 0.164  0.16
O 0.692 0.164 0.857  0.16
O 0.528 0.692 0.836  0.16
O 0.472 0.308 0.164  0.16
O 0.143 0.308 0.836  0.16
Cu 0.500 0.500 0.000  0.06
Fe 0.000 0.000 0.500  4.34
Cu 0.500 0.000 0.500  0.06
O 0.308 0.164 0.472  0.16
O 0.308 0.836 0.143  0.16
O 0.692 0.836 0.528  0.16
O 0.164 0.857 0.692  0.16
Tb 0.000 0.000 0.000  -0.02
Fe 0.500 0.000 0.000  4.34
Cu 0.000 0.500 0.500  0.06
O 0.836 0.143 0.308  0.16
O 0.836 0.528 0.692  0.16
O 0.164 0.472 0.308  0.16



2.
Entry from the Alexandria database: a geometry-optimized FeCu2TeO8 structure (PBE with a Hubbard U).

Calculated values
- Calculated total energy: -5.191 eV per atom

Unit cell a=5.589 b=5.589 c=5.589 alpha=110.17 beta=110.17 gamma=108.08
Site moments in Bohr magnetons follow the coordinates.
Sites, in units of the cell vectors:
Cu 0.750 0.250 0.500  0.50
Te 0.000 0.000 0.000  0.01
O 0.347 0.037 0.310  0.18
Cu 0.500 0.500 0.000  -0.13
Fe 0.250 0.750 0.500  4.25
O 0.282 0.464 0.182  0.03
O 0.899 0.718 0.182  0.03
O 0.963 0.653 0.690  0.18
O 0.963 0.273 0.310  0.18
O 0.282 0.101 0.818  0.03
O 0.536 0.718 0.818  0.03
O 0.727 0.037 0.690  0.18



3.
Entry from the Alexandria database: a geometry-optimized FeCu2TeO6 structure (PBE with a Hubbard U).

Calculated values
- Calculated total energy: -5.532 eV per atom

Unit cell a=5.232 b=5.253 c=5.640 alpha=61.26 beta=62.35 gamma=59.33
Site moments in Bohr magnetons follow the coordinates.
Sites, in units of the cell vectors:
Fe 0.805 0.814 0.569  3.81
O 0.944 0.588 0.241  0.14
O 0.227 0.940 0.243  0.13
O 0.118 0.410 0.765  0.15
Cu 0.016 0.013 0.960  0.67
O 0.400 0.712 0.772  0.16
Te 0.322 0.322 0.033  0.01
Cu 0.529 0.522 0.424  0.54
O 0.707 0.127 0.763  0.16
O 0.594 0.213 0.245  0.12



4.
Entry from the Alexandria database: a geometry-optimized FeCuTe2O structure (PBE with a Hubbard U).

Calculated values
- Calculated total energy: -4.046 eV per atom

Unit cell a=5.102 b=3.899 c=5.102 alpha=90.00 beta=90.00 gamma=90.00
Site moments in Bohr magnetons follow the coordinates.
Sites, in units of the cell vectors:
Cu 0.500 0.500 0.500  0.01
O 0.000 0.000 0.000  0.05
Te 0.500 0.000 0.000  0.04
Fe 0.000 0.500 0.000  3.67
Te 0.000 0.000 0.500  0.01



> Number 3 is which compound?

FeCu2TeO6



> calculated total energy of number 2 (FeCu2TeO8)?

-5.191 eV per atom



> What is the calculated total energy in the third record?

-5.532 eV per atom



> What is the calculated total energy in the fourth record?

-4.046 eV per atom